Entry 1:
PBE-GGA TlAs2Pd, relaxed; formation energy = 0.055 eV per atom; polymorph energy (0 for the lowest one) = 187 meV/atom
1.0
5.8610 0.0000 0.0000
0.0000 5.8610 0.0000
0.0000 0.0000 12.6589
Tl As Pd
4 8 4
Cartesian
0.0000 0.0000 0.0000 Tl
0.0000 2.9305 3.1647 Tl
2.9305 0.0000 9.4941 Tl
2.9305 2.9305 6.3294 Tl
1.1038 1.4652 7.9118 As
1.4652 4.0343 11.0765 As
1.4652 4.7572 4.7471 As
1.8267 1.4652 1.5824 As
4.0343 4.3957 1.5824 As
4.3957 1.1038 4.7471 As
4.3957 1.8267 11.0765 As
4.7572 4.3957 7.9118 As
0.0000 0.0000 6.3294 Pd
0.0000 2.9305 9.4941 Pd
2.9305 0.0000 3.1647 Pd
2.9305 2.9305 0.0000 Pd


Entry 2:
PBE-GGA Tl4As4Pd, relaxed; formation energy = 0.005 eV per atom
1.0
9.0559 0.0000 0.0000
0.0000 9.0559 0.0000
0.0000 0.0000 5.7102
Tl As Pd
8 8 2
Cartesian
0.6344 7.4748 0.7627 Tl
1.5811 5.1623 3.6179 Tl
2.9469 8.4216 3.6179 Tl
3.8936 6.1090 0.7627 Tl
5.1623 2.9469 4.9475 Tl
6.1090 0.6344 2.0924 Tl
7.4748 3.8936 2.0924 Tl
8.4216 1.5811 4.9475 Tl
0.9398 1.5013 2.1419 As
1.5013 3.5882 0.7132 As
3.0267 0.9398 0.7132 As
3.5882 3.0267 2.1419 As
5.4677 6.0292 3.5683 As
6.0292 8.1161 4.9970 As
7.5547 5.4677 4.9970 As
8.1161 7.5547 3.5683 As
2.2640 2.2640 4.2827 Pd
6.7919 6.7919 1.4276 Pd


Entry 3:
PBE-GGA TlAs2Pd, relaxed; formation energy = 0.282 eV per atom; polymorph energy (0 for the lowest one) = 414 meV/atom
1.0
6.8501 0.0000 0.0000
0.0000 6.8501 0.0000
0.0000 0.0000 6.8501
Tl As Pd
4 8 4
Cartesian
0.0000 0.0000 0.0000 Tl
0.0000 3.4250 3.4250 Tl
3.4250 0.0000 3.4250 Tl
3.4250 3.4250 0.0000 Tl
1.7125 1.7125 1.7125 As
1.7125 1.7125 5.1376 As
1.7125 5.1376 1.7125 As
1.7125 5.1376 5.1376 As
5.1376 1.7125 1.7125 As
5.1376 1.7125 5.1376 As
5.1376 5.1376 1.7125 As
5.1376 5.1376 5.1376 As
0.0000 0.0000 3.4250 Pd
0.0000 3.4250 0.0000 Pd
3.4250 0.0000 0.0000 Pd
3.4250 3.4250 3.4250 Pd


Entry 4:
PBE-GGA TlAs3Pd3, relaxed; formation energy = -0.070 eV per atom
1.0
6.9417 0.0000 0.0000
0.0000 6.9417 0.0000
0.0000 0.0000 6.9417
Tl As Pd
2 6 6
Cartesian
0.0000 0.0000 0.0000 Tl
3.4708 3.4708 3.4708 Tl
0.0000 1.7354 3.4708 As
0.0000 5.2062 3.4708 As
1.7354 3.4708 0.0000 As
3.4708 0.0000 1.7354 As
3.4708 0.0000 5.2062 As
5.2062 3.4708 0.0000 As
0.0000 3.4708 1.7354 Pd
0.0000 3.4708 5.2062 Pd
1.7354 0.0000 3.4708 Pd
3.4708 1.7354 0.0000 Pd
3.4708 5.2062 0.0000 Pd
5.2062 0.0000 3.4708 Pd


Entry 5:
PBE-GGA TlAs2Pd, relaxed; formation energy = -0.132 eV per atom; polymorph energy (0 for the lowest one) = 0 meV/atom
1.0
4.0638 0.0000 0.0000
-2.0319 3.5194 0.0000
0.0000 0.0000 19.7955
Tl As Pd
3 6 3
Cartesian
0.0000 0.0000 0.0000 Tl
0.0000 2.3463 13.1970 Tl
2.0319 1.1731 6.5985 Tl
0.0000 0.0000 10.9038 As
0.0000 0.0000 15.4806 As
0.0000 2.3463 4.3054 As
0.0000 2.3463 8.8821 As
2.0319 1.1731 2.2836 As
2.0319 1.1731 17.5023 As
0.0000 0.0000 3.2986 Pd
0.0000 2.3463 16.4956 Pd
2.0319 1.1731 9.8971 Pd


Entry 6:
PBE-GGA TlAs2Pd, relaxed; formation energy = 0.010 eV per atom; polymorph energy (0 for the lowest one) = 142 meV/atom
1.0
3.2223 0.0000 0.0000
-1.6112 2.7906 0.0000
0.0000 0.0000 30.1599
Tl As Pd
3 6 3
Cartesian
0.0000 0.0000 0.0000 Tl
0.0000 1.8604 20.1066 Tl
1.6112 0.9302 10.0533 Tl
0.0000 0.0000 3.2032 As
0.0000 0.0000 26.9567 As
0.0000 1.8604 16.9034 As
0.0000 1.8604 23.3098 As
1.6112 0.9302 6.8501 As
1.6112 0.9302 13.2565 As
0.0000 0.0000 15.0799 Pd
0.0000 1.8604 5.0267 Pd
1.6112 0.9302 25.1332 Pd


Look up the formation energy of the fourth one. -0.070 eV per atom